# GGA-PBE TbDy7Ho5, relaxed
# * ΔH_f (0 K): 0.256 eV per atom
# * DOS(E_F): 1.846 states/eV/atom
# * theoretical density: 8.36 g cm⁻³
data_TbDy7Ho5
_chemical_formula_sum 'Tb2 Dy14 Ho10'
_cell_length_a 6.642
_cell_length_b 11.058
_cell_length_c 11.469
_cell_angle_alpha 90.00
_cell_angle_beta 90.00
_cell_angle_gamma 90.00
_symmetry_space_group_name_H-M 'I m m 2'
_symmetry_Int_Tables_number 44
loop_
_symmetry_equiv_pos_as_xyz
'x,y,z'
'-x,-y,z'
'-x,y,z'
'x,-y,z'
'x+1/2,y+1/2,z+1/2'
'-x+1/2,-y+1/2,z+1/2'
'-x+1/2,y+1/2,z+1/2'
'x+1/2,-y+1/2,z+1/2'
loop_
_atom_site_label
_atom_site_fract_x
_atom_site_fract_y
_atom_site_fract_z
_atom_site_occupancy
Tb1 0.000 0.000 0.000 1
Dy1 0.000 0.000 0.307 1
Dy2 0.000 0.000 0.613 1
Dy3 0.000 0.329 0.056 1
Dy4 0.000 0.329 0.555 1
Dy5 0.000 0.500 0.805 1
Ho1 0.000 0.500 0.305 1
Ho2 0.233 0.228 0.806 1